NbIN2O | meta-GGA SCAN | single point on PBEsol structure

Lattice parameters (Å, degrees): 4.0310 4.0310 3.9012 90.00 90.00 90.00
Fractional positions:
Nb 0.0000 0.0000 0.0000
I 0.5000 0.5000 0.0000
N 0.0000 0.5000 0.5000
N 0.5000 0.0000 0.5000
O 0.5000 0.5000 0.5000

Summary:
**E_form (uncorrected)**: 9.6 eV per formula unit
**Total energy**: -17.023 eV/atom

---

NbIN2O | meta-GGA SCAN | single point on PBEsol structure

Lattice parameters (Å, degrees): 4.2224 4.2224 3.8846 90.00 90.00 90.00
Fractional positions:
Nb 0.0000 0.0000 0.0000
I 0.5000 0.5000 0.5000
N 0.0000 0.5000 0.0000
N 0.5000 0.0000 0.0000
O 0.0000 0.0000 0.5000

Summary:
**E_form (uncorrected)**: 0.6 eV per formula unit
**Total energy**: -18.810 eV/atom

---

NbOsI2N | meta-GGA SCAN | single point on PBEsol structure

Lattice parameters (Å, degrees): 5.4575 5.4575 3.6745 90.00 90.00 90.00
Fractional positions:
Nb 0.0000 0.0000 0.0000
Os 0.5000 0.5000 0.5000
I 0.0000 0.5000 0.5000
I 0.5000 0.0000 0.5000
N 0.5000 0.5000 0.0000

Summary:
**E_form (uncorrected)**: 4.2 eV per formula unit
**Total energy**: -36.724 eV/atom

---

NbPdIN2 | meta-GGA SCAN | single point on PBEsol structure

Lattice parameters (Å, degrees): 3.9548 3.9548 5.9638 90.00 90.00 90.00
Fractional positions:
Nb 0.0000 0.0000 0.0000
Pd 0.5000 0.5000 0.5000
I 0.0000 0.0000 0.5000
N 0.0000 0.5000 0.0000
N 0.5000 0.0000 0.0000

Summary:
**E_form (uncorrected)**: 2.2 eV per formula unit
**Total energy**: -23.811 eV/atom

---

NbTeIN2 | meta-GGA SCAN | single point on PBEsol structure

Lattice parameters (Å, degrees): 4.1348 4.1348 5.8895 90.00 90.00 90.00
Fractional positions:
Nb 0.0000 0.0000 0.0000
Te 0.0000 0.0000 0.5000
I 0.5000 0.5000 0.5000
N 0.0000 0.5000 0.0000
N 0.5000 0.0000 0.0000

Summary:
**E_form (uncorrected)**: 2.1 eV per formula unit
**Total energy**: -24.714 eV/atom

---

NbTeIN2 | meta-GGA SCAN | single point on PBEsol structure

Lattice parameters (Å, degrees): 3.9828 3.9828 6.7221 90.00 90.00 90.00
Fractional positions:
Nb 0.0000 0.0000 0.0000
Te 0.5000 0.5000 0.0000
I 0.5000 0.5000 0.5000
N 0.0000 0.5000 0.5000
N 0.5000 0.0000 0.5000

Summary:
**E_form (uncorrected)**: 9.8 eV per formula unit
**Total energy**: -23.187 eV/atom

---

NbTlIN2 | meta-GGA SCAN | single point on PBEsol structure

Lattice parameters (Å, degrees): 4.2005 4.2005 5.6930 90.00 90.00 90.00
Fractional positions:
Nb 0.0000 0.0000 0.0000
Tl 0.5000 0.5000 0.5000
I 0.0000 0.0000 0.5000
N 0.0000 0.5000 0.0000
N 0.5000 0.0000 0.0000

Summary:
**E_form (uncorrected)**: 1.6 eV per formula unit
**Total energy**: -31.843 eV/atom

---

YNbIN2 | meta-GGA SCAN | single point on PBEsol structure

Lattice parameters (Å, degrees): 4.1483 4.1483 5.3649 90.00 90.00 90.00
Fractional positions:
Y 0.0000 0.0000 0.0000
Nb 0.5000 0.5000 0.5000
I 0.5000 0.5000 0.0000
N 0.0000 0.5000 0.5000
N 0.5000 0.0000 0.5000

Summary:
**E_form (uncorrected)**: 0.1 eV per formula unit
**Total energy**: -23.248 eV/atom

---

YNbIN2 | meta-GGA SCAN | single point on PBEsol structure

Lattice parameters (Å, degrees): 4.3661 4.3661 5.7321 90.00 90.00 90.00
Fractional positions:
Y 0.0000 0.0000 0.0000
Nb 0.5000 0.5000 0.5000
I 0.0000 0.0000 0.5000
N 0.0000 0.5000 0.0000
N 0.5000 0.0000 0.0000

Summary:
**E_form (uncorrected)**: 4.4 eV per formula unit
**Total energy**: -22.384 eV/atom

---

NbZnIN2 | meta-GGA SCAN | single point on PBEsol structure

Lattice parameters (Å, degrees): 3.9736 3.9736 5.1837 90.00 90.00 90.00
Fractional positions:
Nb 0.0000 0.0000 0.0000
Zn 0.5000 0.5000 0.5000
I 0.5000 0.5000 0.0000
N 0.0000 0.5000 0.5000
N 0.5000 0.0000 0.5000

Summary:
**E_form (uncorrected)**: 7.9 eV per formula unit
**Total energy**: -18.819 eV/atom

---

ZrNbIN2 | meta-GGA SCAN | single point on PBEsol structure

Lattice parameters (Å, degrees): 4.1800 4.1800 5.6076 90.00 90.00 90.00
Fractional positions:
Zr 0.0000 0.0000 0.0000
Nb 0.5000 0.5000 0.5000
I 0.0000 0.0000 0.5000
N 0.0000 0.5000 0.0000
N 0.5000 0.0000 0.0000

Summary:
**E_form (uncorrected)**: 3.0 eV per formula unit
**Total energy**: -23.222 eV/atom

---

ReNiIN2 | meta-GGA SCAN | single point on PBEsol structure

Lattice parameters (Å, degrees): 3.7793 3.7793 5.7600 90.00 90.00 90.00
Fractional positions:
Re 0.0000 0.0000 0.0000
Ni 0.5000 0.5000 0.5000
I 0.0000 0.0000 0.5000
N 0.0000 0.5000 0.0000
N 0.5000 0.0000 0.0000

Summary:
**E_form (uncorrected)**: 4.0 eV per formula unit
**Total energy**: -27.720 eV/atom